The following is a DFT calculation (PBE) of CoSi2Tc after structural relaxation.

Cell and atoms, written as extended XYZ:
```
8
Lattice="3.0338 0.0000 0.0000 0.0000 3.7499 0.0000 0.0000 0.0000 8.7154" Properties=species:S:1:pos:R:3 pbc="T T T"
Co 0.0000 0.0000 0.0000
Co 1.5169 1.8749 4.3577
Si 0.0000 0.0000 4.1357
Si 0.0000 1.8749 6.0804
Si 1.5169 0.0000 1.7227
Si 1.5169 1.8749 8.4934
Tc 0.0000 1.8749 2.1172
Tc 1.5169 0.0000 6.4749
```

size of the total moment	0.0	μB/f.u.
formation energy without anion corrections	-0.335	eV per atom

The following is a DFT calculation (PBE) of Co2Si2Tc after structural relaxation.

Cell and atoms, written as extended XYZ:
```
10
Lattice="6.7136 0.0000 0.0000 0.0000 6.7136 0.0000 0.0000 0.0000 2.5785" Properties=species:S:1:pos:R:3 pbc="T T T"
Co 0.9851 2.3718 0.0000
Co 2.3718 5.7286 0.0000
Co 4.3419 0.9851 0.0000
Co 5.7286 4.3419 0.0000
Si 1.0034 4.3602 1.2893
Si 2.3535 1.0034 1.2893
Si 4.3602 5.7103 1.2893
Si 5.7103 2.3535 1.2893
Tc 0.0000 0.0000 1.2893
Tc 3.3568 3.3568 1.2893
```

size of the total moment	0.0	μB/f.u.
formation energy without anion corrections	-0.467	eV per atom

The following is a DFT calculation (PBE) of CoSiTc3 after structural relaxation.

Cell and atoms, written as extended XYZ:
```
5
Lattice="4.3389 0.0000 0.0000 0.0000 4.3389 0.0000 0.0000 0.0000 4.3389" Properties=species:S:1:pos:R:3 pbc="T T T"
Co 0.0000 0.0000 0.0000
Si 2.1694 2.1694 2.1694
Tc 0.0000 2.1694 2.1694
Tc 2.1694 0.0000 2.1694
Tc 2.1694 2.1694 0.0000
```

size of the total moment	0.0	μB/f.u.
formation energy without anion corrections	1.191	eV per atom

The following is a DFT calculation (PBE) of CoSi2Tc after structural relaxation.

Cell and atoms, written as extended XYZ:
```
4
Lattice="4.0341 0.0000 0.0000 0.0000 4.0341 0.0000 0.0000 0.0000 2.9528" Properties=species:S:1:pos:R:3 pbc="T T T"
Co 0.0000 0.0000 0.0000
Si 0.0000 2.0171 1.4764
Si 2.0171 0.0000 1.4764
Tc 2.0171 2.0171 0.0000
```

size of the total moment	0.0	μB/f.u.
formation energy without anion corrections	-0.462	eV per atom

The following is a DFT calculation (PBE) of CoSi2Tc after structural relaxation.

Cell and atoms, written as extended XYZ:
```
8
Lattice="7.6879 0.0000 0.0000 0.0000 2.7272 0.0000 -1.0307 0.0000 4.7622" Properties=species:S:1:pos:R:3 pbc="T T T"
Co 0.0000 0.0000 0.0000
Co 3.8440 1.3636 0.0000
Si 1.6414 1.3636 1.0727
Si 1.1719 0.0000 3.6895
Si 5.4853 0.0000 1.0727
Si 5.0159 1.3636 3.6895
Tc -0.5153 1.3636 2.3811
Tc 3.3286 0.0000 2.3811
```

size of the total moment	0.1	μB/f.u.
formation energy without anion corrections	-0.276	eV per atom

The following is a DFT calculation (PBE) of CoSi2Tc after structural relaxation.

Cell and atoms, written as extended XYZ:
```
12
Lattice="2.8147 0.0000 0.0000 -1.4074 2.4376 0.0000 0.0000 0.0000 22.8410" Properties=species:S:1:pos:R:3 pbc="T T T"
Co 0.0000 0.0000 0.0000
Co 0.0000 1.6251 15.2274
Co 1.4074 0.8125 7.6137
Si 0.0000 0.0000 5.9670
Si 0.0000 0.0000 11.5633
Si 0.0000 1.6251 3.9496
Si 0.0000 1.6251 21.1943
Si 1.4074 0.8125 13.5807
Si 1.4074 0.8125 19.1770
Tc 0.0000 0.0000 17.3114
Tc 0.0000 1.6251 9.6977
Tc 1.4074 0.8125 2.0840
```

size of the total moment	0.8	μB/f.u.
formation energy without anion corrections	-0.013	eV per atom